Below is an optimized crystal structure of NbZn3Ge, with properties calculated at the PBE level.

Cell lengths 4.624, 4.624, 4.624 Å; angles 90.00, 90.00, 90.00 degrees
Each line ends with the local moment (μB).
Fractional positions:
Nb  0.500  0.500  0.500  0.79
Zn  0.000  0.000  0.500  -0.01
Zn  0.500  0.000  0.000  -0.01
Ge  0.000  0.000  0.000  0.02
Zn  0.000  0.500  0.000  -0.01

E_form, meV/atom: 974.8
Total magnetic moment, Bohr magnetons per cell: 0.899
Polymorph energy (0 for the lowest one), eV per formula unit: 0.00

---

Below is an optimized crystal structure of Tl4Re, with properties calculated at the PBE level.

Cell lengths 9.104, 9.104, 9.104 Å; angles 153.86, 153.86, 37.30 degrees
Each line ends with the local moment (μB).
Fractional positions:
Tl  0.585  0.585  0.000  -0.02
Tl  0.415  0.415  0.000  -0.02
Tl  0.750  0.250  0.500  -0.01
Tl  0.250  0.750  0.500  -0.01
Re  0.000  0.000  0.000  2.75

E_form, meV/atom: 1165.6
Total magnetic moment, Bohr magnetons per cell: 3.076
Polymorph energy (0 for the lowest one), eV per formula unit: 3.49

---

Below is an optimized crystal structure of MgZnCd2, with properties calculated at the PBE level.

Cell lengths 5.398, 5.398, 5.338 Å; angles 76.86, 76.86, 32.75 degrees
Fractional positions:
Zn  0.250  0.250  0.250
Mg  0.750  0.750  0.750
Cd  0.508  0.508  0.494
Cd  0.992  0.992  0.006

E_form, meV/atom: 0.9
Total magnetic moment, Bohr magnetons per cell: 0.000
Polymorph energy (0 for the lowest one), eV per formula unit: 0.09

---

Below is an optimized crystal structure of Ca2AlGePd6, with properties calculated at the PBE level.

Cell lengths 6.416, 6.434, 5.571 Å; angles 64.87, 64.72, 74.21 degrees
Fractional positions:
Pd  0.692  0.806  0.002
Ca  0.754  0.254  0.496
Al  0.000  0.000  0.000
Ge  0.500  0.500  0.000
Pd  0.303  0.198  0.500
Ca  0.246  0.746  0.504
Pd  0.697  0.802  0.500
Pd  0.921  0.418  0.833
Pd  0.308  0.194  0.998
Pd  0.079  0.582  0.167

E_form, meV/atom: -620.9
Total magnetic moment, Bohr magnetons per cell: 0.000